# AgHg2Pd6

AgHg2Pd6 after structural relaxation (PBE, the Alexandria database).

Results
Density (g cm⁻³): 12.6
M_tot (μB/f.u.): 0.00
Formation enthalpy at 0 K (eV/f.u.): -1.1
Energy above the most stable polymorph in this dataset (eV/atom): 0.000
Density of states at the Fermi level (states/eV/cell): 6.503
Energy (eV per atom): -3.966

a = 4.1331 Å, b = 4.8991 Å, c = 8.7246 Å
α = 71.58°, β = 76.30°, γ = 65.05°
Positions (direct):
Ag 0.0000 0.5000 0.5000
Hg 0.3261 0.6209 0.7269
Hg 0.6739 0.3791 0.2731
Pd 0.6630 0.7291 0.9450
Pd 0.3370 0.2709 0.0550
Pd 0.0056 0.8281 0.1607
Pd 0.3378 0.9376 0.3867
Pd 0.9944 0.1719 0.8393
Pd 0.6622 0.0624 0.6133